Below is CePuGaOs after structural relaxation, with properties calculated at the PBE-GGA level.

Summary:
Calculated formation energy in kcal/mol of atoms: -3.9
DFT total energy in hartree per atom: -0.323

Unit cell a=5.086 b=4.698 c=4.698 alpha=60.00 beta=90.00 gamma=90.00
Fractional positions:
Os 0.346 0.333 0.333
Pu 0.140 0.000 0.000
Ce 0.558 0.667 0.667
Ga 0.849 0.333 0.333